No. 1
# PmDy2PuSb4 | Alexandria via LeMat-Bulk | GGA-PBE | relaxed
data_PmDy2PuSb4
_chemical_formula_sum 'Pm1 Dy2 Pu1 Sb4'
_symmetry_space_group_name_H-M 'P 1'
_symmetry_Int_Tables_number 1
_cell_length_a 7.651
_cell_length_b 4.431
_cell_length_c 7.659
_cell_angle_alpha 90.00
_cell_angle_beta 109.49
_cell_angle_gamma 90.00
loop_
_symmetry_equiv_pos_as_xyz
'x,y,z'
loop_
_atom_site_label
_atom_site_type_symbol
_atom_site_fract_x
_atom_site_fract_y
_atom_site_fract_z
_atom_site_occupancy
Pm1 Pm 0.000 0.000 0.000 1
Dy1 Dy 0.500 0.000 0.500 1
Dy2 Dy 0.500 0.500 0.000 1
Pu1 Pu 0.000 0.500 0.500 1
Sb1 Sb 0.253 0.000 0.749 1
Sb2 Sb 0.255 0.500 0.254 1
Sb3 Sb 0.745 0.500 0.746 1
Sb4 Sb 0.747 0.000 0.251 1
# formation energy without anion corrections	-1.004	eV/atom


No. 2
# Pm2DyPuSb4 | Alexandria via LeMat-Bulk | GGA-PBE | relaxed
data_Pm2DyPuSb4
_chemical_formula_sum 'Pm2 Dy1 Pu1 Sb4'
_symmetry_space_group_name_H-M 'P 1'
_symmetry_Int_Tables_number 1
_cell_length_a 7.698
_cell_length_b 4.457
_cell_length_c 7.700
_cell_angle_alpha 90.00
_cell_angle_beta 109.46
_cell_angle_gamma 90.00
loop_
_symmetry_equiv_pos_as_xyz
'x,y,z'
loop_
_atom_site_label
_atom_site_type_symbol
_atom_site_fract_x
_atom_site_fract_y
_atom_site_fract_z
_atom_site_occupancy
Pm1 Pm 0.000 0.000 0.000 1
Pm2 Pm 0.500 0.500 0.000 1
Dy1 Dy 0.000 0.500 0.500 1
Pu1 Pu 0.500 0.000 0.500 1
Sb1 Sb 0.247 0.000 0.743 1
Sb2 Sb 0.252 0.500 0.257 1
Sb3 Sb 0.748 0.500 0.743 1
Sb4 Sb 0.753 0.000 0.257 1
# formation energy without anion corrections	-1.017	eV/atom


No. 3
# PmDyPuSc | Alexandria via LeMat-Bulk | GGA-PBE | relaxed
data_PmDyPuSc
_chemical_formula_sum 'Pm1 Dy1 Pu1 Sc1'
_symmetry_space_group_name_H-M 'P 1'
_symmetry_Int_Tables_number 1
_cell_length_a 5.503
_cell_length_b 5.503
_cell_length_c 5.503
_cell_angle_alpha 60.00
_cell_angle_beta 60.00
_cell_angle_gamma 60.00
loop_
_symmetry_equiv_pos_as_xyz
'x,y,z'
loop_
_atom_site_label
_atom_site_type_symbol
_atom_site_fract_x
_atom_site_fract_y
_atom_site_fract_z
_atom_site_occupancy
Pm1 Pm 0.000 0.000 0.000 1
Dy1 Dy 0.750 0.750 0.750 1
Pu1 Pu 0.500 0.500 0.500 1
Sc1 Sc 0.250 0.250 0.250 1
# energy of formation from the pure elements	0.20	eV/atom